Record 1
MnAgSe after structural relaxation, computed with PBE.

Cell lengths 9.1320, 3.4441, 8.0279 Å; angles 90.00, 88.15, 90.00 degrees
Last column: magnetic moment on the atom in μB.
Element x y z (fractional)
1 Mn 0.6658 0.0000 0.9129  3.95
2 Mn 0.6658 0.5000 0.4129  3.95
3 Mn 0.3216 0.0000 0.7691  3.92
4 Mn 0.3216 0.5000 0.2691  3.92
5 Ag 0.9602 0.0000 0.4829  0.00
6 Ag 0.9602 0.5000 0.9829  0.00
7 Ag 0.8025 0.0000 0.1992  0.03
8 Ag 0.8025 0.5000 0.6992  0.03
9 Se 0.1370 0.0000 0.2020  -0.01
10 Se 0.1370 0.5000 0.7020  -0.01
11 Se 0.4569 0.0000 0.4560  0.01
12 Se 0.4569 0.5000 0.9560  0.01

Fermi-level density of states: 0.405 states/eV per atom
Magnetization: 4.2 μB per formula unit
E above lowest polymorph: 86.0 meV/atom
E_form (uncorrected): 0.021 eV per atom
Calculated volume: 252 Å³ per cell

---

Record 2
MnAgSe after structural relaxation, computed with PBE.

Cell lengths 2.9691, 4.1187, 10.9061 Å; angles 76.11, 82.24, 68.90 degrees
Element x y z (fractional)
1 Mn 0.4285 0.2828 0.6998
2 Mn 0.4653 0.3877 0.5182
3 Ag 0.2898 0.0642 0.1912
4 Ag 0.0376 0.7293 0.0285
5 Se 0.1909 0.0081 0.4453
6 Se 0.1237 0.8190 0.7730

Fermi-level density of states: 0.286 states/eV per atom
Magnetization: 0.0 μB per formula unit
E above lowest polymorph: 195.0 meV/atom
E_form (uncorrected): 0.130 eV per atom
Calculated volume: 121 Å³ per cell

---

> Among the records above, which one has the highest calculated volume?

number 1

---

> Which value of calculated volume does entry 2 give?

121 Å³ per cell

---

> Which formula does entry 2 have?

MnAgSe